Record 1
Compound: AlReSiMo
Source: Alexandria
Functional: GGA-PBE
Structure: optimized geometry

The structure belongs to space group P4mm (No. 99); the cell edges are 3.156, 3.156 and 5.720 Å and the angles 90.00°, 90.00° and 90.00°. The asymmetric unit holds Al at (0.000, 0.000, 0.000), Re at (0.500, 0.500, 0.765), Si at (0.500, 0.500, 0.250) and Mo at (0.000, 0.000, 0.481).

The energy relative to the elements, uncorrected is -328.6 meV/atom.

---

Record 2
Compound: AlReTcMo
Source: Alexandria
Functional: GGA-PBE
Structure: optimized geometry

The structure belongs to space group F-43m (No. 216); the cell edges are 6.192, 6.192 and 6.192 Å and the angles 90.00°, 90.00° and 90.00°. The asymmetric unit holds Al at (0.000, 0.000, 0.000), Re at (0.250, 0.250, 0.250), Tc at (0.250, 0.250, 0.750) and Mo at (0.000, 0.000, 0.500).

As for the energy relative to the elements: -159.2 meV/atom.

---

Record 3
Compound: TiAlReMo
Source: Alexandria
Functional: GGA-PBE
Structure: optimized geometry

The structure belongs to space group F-43m (No. 216); the cell edges are 6.252, 6.252 and 6.252 Å and the angles 90.00°, 90.00° and 90.00°. The asymmetric unit holds Ti at (0.000, 0.000, 0.000), Al at (0.250, 0.250, 0.250), Re at (0.000, 0.000, 0.500) and Mo at (0.250, 0.250, 0.750).

As for the energy relative to the elements: -228.4 meV/atom.

---

Record 4
Compound: Ti5Al2Re2Mo
Source: Alexandria
Functional: GGA-PBE
Structure: optimized geometry

The structure belongs to space group P4/mbm (No. 127); the cell edges are 8.975, 8.975 and 4.118 Å and the angles 90.00°, 90.00° and 90.00°. The asymmetric unit holds Ti at (0.000, 0.500, 0.000), Ti at (0.089, 0.196, 0.000), Al at (0.170, 0.670, 0.500), Re at (0.125, 0.375, 0.500) and Mo at (0.000, 0.000, 0.500).

As for the energy relative to the elements: -37.6 meV/atom.

---

Record 5
Compound: AlVReMo
Source: Alexandria
Functional: GGA-PBE
Structure: optimized geometry

The structure belongs to space group F-43m (No. 216); the cell edges are 6.186, 6.186 and 6.186 Å and the angles 90.00°, 90.00° and 90.00°. The asymmetric unit holds Al at (0.000, 0.000, 0.000), V at (0.250, 0.250, 0.750), Re at (0.250, 0.250, 0.250) and Mo at (0.000, 0.000, 0.500).

As for the energy relative to the elements: -140.4 meV/atom.

---

Record 6
Compound: YAlReMo2
Source: Alexandria
Functional: GGA-PBE
Structure: optimized geometry

The structure belongs to space group P4/mmm (No. 123); the cell edges are 4.825, 4.825 and 4.772 Å and the angles 90.00°, 90.00° and 90.00°. The asymmetric unit holds Y at (0.000, 0.000, 0.000), Al at (0.500, 0.500, 0.000), Re at (0.500, 0.500, 0.500) and Mo at (0.000, 0.500, 0.500).

As for the energy relative to the elements: 819.6 meV/atom.

---

Record 7
Compound: AlZnReMo
Source: Alexandria
Functional: GGA-PBE
Structure: optimized geometry

The structure belongs to space group F-43m (No. 216); the cell edges are 6.184, 6.184 and 6.184 Å and the angles 90.00°, 90.00° and 90.00°. The asymmetric unit holds Al at (0.000, 0.000, 0.000), Zn at (0.250, 0.250, 0.750), Re at (0.250, 0.250, 0.250) and Mo at (0.000, 0.000, 0.500).

As for the energy relative to the elements: -65.8 meV/atom.

---

Record 8
Compound: ZrAl2ReMo
Source: Alexandria
Functional: GGA-PBE
Structure: optimized geometry

The structure belongs to space group P4/mmm (No. 123); the cell edges are 4.648, 4.648 and 4.787 Å and the angles 90.00°, 90.00° and 90.00°. The asymmetric unit holds Zr at (0.000, 0.000, 0.000), Al at (0.000, 0.500, 0.500), Re at (0.500, 0.500, 0.000) and Mo at (0.500, 0.500, 0.500).

As for the energy relative to the elements: 840.7 meV/atom.

---

Record 9
Compound: ZrAl2ReMo
Source: Alexandria
Functional: GGA-PBE
Structure: optimized geometry

The structure belongs to space group P4/mmm (No. 123); the cell edges are 4.738, 4.738 and 4.931 Å and the angles 90.00°, 90.00° and 90.00°. The asymmetric unit holds Zr at (0.000, 0.000, 0.000), Al at (0.000, 0.500, 0.500), Re at (0.000, 0.000, 0.500) and Mo at (0.500, 0.500, 0.000).

As for the energy relative to the elements: 927.9 meV/atom.

---

Record 10
Compound: AlMoRh2
Source: Alexandria
Functional: GGA-PBE
Structure: optimized geometry

The structure belongs to space group C2/m (No. 12); the cell edges are 5.718, 7.222 and 2.817 Å and the angles 90.00°, 90.19° and 90.00°. The asymmetric unit holds Al at (0.000, 0.000, 0.000), Mo at (0.000, 0.500, 0.000) and Rh at (0.250, 0.250, 0.500).

As for the energy relative to the elements: -426.9 meV/atom.

---

Record 11
Compound: AlMoRh2
Source: Alexandria
Functional: GGA-PBE
Structure: optimized geometry

The structure belongs to space group I4/mmm (No. 139); the cell edges are 3.963, 3.963 and 7.409 Å and the angles 90.00°, 90.00° and 90.00°. The asymmetric unit holds Al at (0.000, 0.000, 0.000), Mo at (0.000, 0.000, 0.500) and Rh at (0.000, 0.500, 0.250).

As for the energy relative to the elements: -438.7 meV/atom.

---

Record 12
Compound: AlMoRh2
Source: Alexandria
Functional: GGA-PBE
Structure: optimized geometry

The structure belongs to space group C2/m (No. 12); the cell edges are 8.903, 2.777 and 4.806 Å and the angles 90.00°, 100.69° and 90.00°. The asymmetric unit holds Al at (0.000, 0.000, 0.000), Mo at (0.000, 0.500, 0.500) and Rh at (0.245, 0.500, 0.250).

As for the energy relative to the elements: -332.2 meV/atom.